A) The following is a PBE calculation of crystalline HoMg2Zr at its relaxed geometry, from Alexandria.

Results
As for the magnetization: 0.00 μB/cell.

abc: 3.297 4.924 12.307
angles: 90.00 90.00 90.00
Atoms (fractional coordinates):
Zr1 0.250 0.250 0.056
Zr2 0.750 0.750 0.944
Mg1 0.250 0.250 0.317
Mg2 0.750 0.250 0.544
Mg3 0.250 0.750 0.456
Mg4 0.750 0.750 0.683
Ho1 0.250 0.250 0.799
Ho2 0.750 0.750 0.201

B) The following is a PBE calculation of crystalline HoMg2Zr at its relaxed geometry, from Alexandria.

Results
As for the magnetization: 0.00 μB/cell.

abc: 3.201 3.201 11.294
angles: 81.85 81.85 60.00
Atoms (fractional coordinates):
Zr1 0.500 0.500 0.500
Ho1 0.667 0.667 0.999
Mg1 0.086 0.086 0.741
Mg2 0.247 0.247 0.260

Stability check: which of them is least stable? B).

A) The following is a PBE calculation of crystalline Ag2Ru at its relaxed geometry, from Alexandria.

Results
As for the magnetization: 1.73 μB/cell.

abc: 5.589 5.589 6.811
angles: 75.72 75.72 29.07
Each line ends with the local moment (μB).
Atoms (fractional coordinates):
Ru1 0.706 0.706 0.379  0.80
Ru2 0.294 0.294 0.621  0.80
Ag1 0.982 0.982 0.306  0.03
Ag2 0.357 0.357 0.034  0.01
Ag3 0.018 0.018 0.694  0.03
Ag4 0.643 0.643 0.966  0.01

B) The following is a PBE calculation of crystalline Ag2Ru at its relaxed geometry, from Alexandria.

Results
As for the magnetization: 0.74 μB/cell.

abc: 2.795 2.795 7.258
angles: 90.00 90.00 120.00
Each line ends with the local moment (μB).
Atoms (fractional coordinates):
Ag1 0.333 0.667 0.663  0.01
Ag2 0.000 0.000 0.004  0.01
Ru1 0.667 0.333 0.333  0.71

Stability check: which of them is least stable? A).

A) The following is a PBE calculation of crystalline SiHgIr2 at its relaxed geometry, from Alexandria.

Results
As for the magnetization: 0.00 μB/cell.

abc: 4.439 2.931 5.294
angles: 73.76 90.00 90.00
Atoms (fractional coordinates):
Ir1 0.000 0.042 0.045
Ir2 0.500 0.426 0.273
Hg1 0.500 0.685 0.749
Si1 0.000 0.347 0.433

B) The following is a PBE calculation of crystalline SiHgIr2 at its relaxed geometry, from Alexandria.

Results
As for the magnetization: 0.00 μB/cell.

abc: 7.038 7.038 5.674
angles: 51.67 51.67 90.00
Atoms (fractional coordinates):
Ir1 0.567 0.125 0.250
Ir2 0.875 0.817 0.750
Ir3 0.375 0.433 0.750
Ir4 0.183 0.625 0.250
Hg1 0.000 0.000 0.000
Hg2 0.750 0.250 0.500
Si1 0.500 0.500 0.000
Si2 0.250 0.750 0.500

Stability check: which of them is least stable? A).

A) The following is a PBE calculation of crystalline Mn2CoCl at its relaxed geometry, from Alexandria.

Results
As for the magnetization: 9.69 μB/cell.

abc: 2.962 4.479 4.479
angles: 90.00 90.00 90.00
Each line ends with the local moment (μB).
Atoms (fractional coordinates):
Cl1 0.500 0.500 0.000  0.12
Mn1 0.000 0.500 0.500  3.80
Mn2 0.000 0.000 0.000  3.80
Co1 0.500 0.000 0.500  1.62

B) The following is a PBE calculation of crystalline Mn2CoCl at its relaxed geometry, from Alexandria.

Results
As for the magnetization: 0.39 μB/cell.

abc: 4.276 4.276 4.276
angles: 60.00 60.00 60.00
Each line ends with the local moment (μB).
Atoms (fractional coordinates):
Mn1 0.000 0.000 0.000  3.41
Mn2 0.250 0.250 0.250  -3.44
Co1 0.750 0.750 0.750  0.40
Cl1 0.500 0.500 0.500  0.02

Stability check: which of them is least stable? B).

A) The following is a PBE calculation of crystalline Mn2TcP at its relaxed geometry, from Alexandria.

Results
As for the magnetization: 0.01 μB/cell.

abc: 4.787 4.787 4.787
angles: 146.33 129.19 62.35
Atoms (fractional coordinates):
Mn1 0.527 0.527 0.000
Mn2 0.973 0.973 0.000
Tc1 0.250 0.750 0.500
P1 0.750 0.250 0.500

B) The following is a PBE calculation of crystalline Mn2TcP at its relaxed geometry, from Alexandria.

Results
As for the magnetization: 0.00 μB/cell.

abc: 4.050 4.050 4.050
angles: 60.00 60.00 60.00
Atoms (fractional coordinates):
P1 0.000 0.000 0.000
Mn1 0.250 0.250 0.250
Mn2 0.750 0.750 0.750
Tc1 0.500 0.500 0.500

Stability check: which of them is least stable? B).

A) The following is a PBE calculation of crystalline B5C7 at its relaxed geometry, from Alexandria.

Results
As for the magnetization: 0.00 μB/cell.

abc: 2.530 2.530 12.350
angles: 90.00 90.00 90.00
Atoms (fractional coordinates):
B1 0.500 0.000 0.590
B2 0.500 0.500 0.857
B3 0.500 0.500 0.477
B4 0.500 0.500 0.167
B5 0.000 0.500 0.743
C1 0.500 0.000 0.937
C2 0.000 0.000 0.323
C3 0.000 0.500 0.081
C4 0.000 0.000 0.667
C5 0.000 0.500 0.396
C6 0.000 0.000 0.010
C7 0.500 0.000 0.252

B) The following is a PBE calculation of crystalline B5C7 at its relaxed geometry, from Alexandria.

Results
As for the magnetization: 0.00 μB/cell.

abc: 4.502 4.502 7.917
angles: 116.11 116.11 33.68
Atoms (fractional coordinates):
C1 0.998 0.998 0.518
C2 0.323 0.323 0.168
C3 0.671 0.671 0.821
C4 0.515 0.515 0.865
C5 0.163 0.163 0.706
C6 0.830 0.830 0.530
C7 0.668 0.668 0.350
B1 0.839 0.839 0.053
B2 0.167 0.167 0.228
B3 0.002 0.002 0.964
B4 0.492 0.492 0.375
B5 0.334 0.334 0.671

Stability check: which of them is least stable? A).

A) The following is a PBE calculation of crystalline ZrInBr2 at its relaxed geometry, from Alexandria.

Results
As for the magnetization: 0.42 μB/cell.

abc: 4.786 3.545 6.023
angles: 86.42 90.00 90.00
Each line ends with the local moment (μB).
Atoms (fractional coordinates):
Br1 0.000 0.912 0.982  0.00
Br2 0.000 0.588 0.518  0.00
In1 0.500 0.250 0.250  0.01
Zr1 0.500 0.750 0.750  0.25

B) The following is a PBE calculation of crystalline ZrInBr2 at its relaxed geometry, from Alexandria.

Results
As for the magnetization: 0.00 μB/cell.

abc: 5.188 3.507 5.982
angles: 73.00 90.00 90.00
Atoms (fractional coordinates):
Br1 0.500 0.231 0.164
Br2 0.000 0.820 0.986
In1 0.000 0.532 0.561
Zr1 0.500 0.918 0.789

Stability check: which of them is least stable? A).